## Nd2RhI (PBE)

Data for a relaxed Nd2RhI crystal.

Results
Fermi-level density of states	3.326	states/eV/cell
size of the total moment	0.000	μB/cell
distance to the lowest polymorph of the same formula	229	meV/atom
E_form (uncorrected)	-0.71	eV per atom
E	-21.285	eV per cell

a b c (Å): 3.592 3.592 8.474
angles (deg): 90.00 90.00 90.00
Element x y z (fractional)
Nd1 0.000 0.000 0.204
I1 0.500 0.500 0.500
Rh1 0.500 0.500 0.000
Nd2 0.000 0.000 0.796